Sm5Zn2Ag2: optimized geometry, PBE.

The structure in extended XYZ format:
```
18
Lattice="8.562 -3.728 0.000 8.562 3.728 0.000 0.000 0.000 7.575" Properties=species:S:1:pos:R:3 pbc="T T T"
Sm 0.000 0.000 0.000
Sm 6.198 2.387 5.150
Sm 6.198 1.340 1.362
Sm 10.925 2.387 5.150
Sm 10.925 1.340 1.362
Sm 8.562 0.000 3.787
Sm 6.198 -1.340 6.212
Sm 6.198 -2.387 2.425
Sm 10.925 -1.340 6.212
Sm 10.925 -2.387 2.425
Zn 8.562 2.859 2.880
Zn 8.562 0.868 6.667
Zn 8.562 -0.868 0.907
Zn 8.562 -2.859 4.695
Ag 3.731 0.000 0.000
Ag 4.830 0.000 3.787
Ag 12.293 0.000 3.787
Ag 13.392 0.000 0.000
```

Values from the calculation:
uncorrected energy: -3.738 eV per atom
density: 7.5 g/cm3
formation energy from the elements: -0.199 eV per atom
V: 241.7 Å³/f.u.
space group: Cmce

Sm3Zn12Ag5: optimized geometry, PBE.

The structure in extended XYZ format:
```
80
Lattice="-7.935 7.935 7.935 7.935 -7.935 7.935 7.935 7.935 -7.935" Properties=species:S:1:pos:R:3 pbc="T T T"
Sm 3.967 1.984 0.000
Sm 7.935 3.967 -1.984
Sm 1.984 0.000 3.967
Sm 9.919 0.000 3.967
Sm 0.000 3.967 1.984
Sm 3.967 -1.984 7.935
Sm 3.967 9.919 0.000
Sm 7.935 3.967 5.951
Sm -1.984 7.935 3.967
Sm 5.951 7.935 3.967
Sm 0.000 3.967 9.919
Sm 3.967 5.951 7.935
Zn 2.320 -0.368 1.096
Zn 9.583 5.063 -4.336
Zn 7.567 -1.096 2.320
Zn 12.271 -1.648 2.872
Zn 10.255 0.368 1.096
Zn 9.583 -2.872 4.336
Zn 1.096 2.320 -0.368
Zn 10.807 3.599 -1.648
Zn 5.063 4.336 -1.648
Zn 6.839 2.320 0.368
Zn -0.368 1.096 2.320
Zn 4.336 -1.648 5.063
Zn 7.567 6.839 -2.320
Zn 4.336 1.648 2.872
Zn 6.839 -2.320 7.567
Zn 5.063 -4.336 9.583
Zn 2.872 4.336 1.648
Zn 9.030 5.615 0.368
Zn 2.320 7.567 -1.096
Zn 9.583 2.872 3.599
Zn 4.336 9.583 -2.872
Zn 7.567 1.096 5.615
Zn 1.648 2.872 4.336
Zn 2.320 0.368 6.839
Zn 5.615 7.567 1.096
Zn 6.287 5.063 3.599
Zn 0.368 6.839 2.320
Zn 3.599 -1.648 10.807
Zn -1.648 5.063 4.336
Zn 5.615 0.368 9.030
Zn -1.096 2.320 7.567
Zn 5.063 3.599 6.287
Zn 2.872 12.271 -1.648
Zn 1.096 10.255 0.368
Zn 3.599 6.287 5.063
Zn 0.368 1.096 10.255
Zn 3.599 9.583 2.872
Zn 8.303 6.839 5.615
Zn 1.096 5.615 7.567
Zn 2.872 3.599 9.583
Zn -2.872 4.336 9.583
Zn 6.839 5.615 8.303
Zn -1.648 10.807 3.599
Zn -2.320 7.567 6.839
Zn -4.336 9.583 5.063
Zn 0.368 9.030 5.615
Zn -1.648 2.872 12.271
Zn 5.615 8.303 6.839
Ag 0.000 0.000 0.000
Ag 3.967 3.967 -3.967
Ag 3.967 -3.967 3.967
Ag 7.935 0.000 0.000
Ag 11.902 1.984 0.000
Ag 7.935 -3.967 5.951
Ag 5.951 7.935 -3.967
Ag 5.951 0.000 3.967
Ag 3.967 5.951 0.000
Ag 7.935 3.967 1.984
Ag -3.967 3.967 3.967
Ag 0.000 7.935 0.000
Ag 0.000 0.000 7.935
Ag 3.967 3.967 3.967
Ag 0.000 3.967 5.951
Ag 3.967 1.984 7.935
Ag 1.984 7.935 3.967
Ag 1.984 0.000 11.902
Ag 0.000 11.902 1.984
Ag -3.967 5.951 7.935
```

Values from the calculation:
uncorrected energy: -1.876 eV per atom
density: 5.9 g/cm3
formation energy from the elements: 0.309 eV per atom
V: 499.6 Å³/f.u.
space group: Ia-3d

SmZnAg: optimized geometry, PBE.

The structure in extended XYZ format:
```
12
Lattice="10.564 0.000 0.000 0.000 4.686 0.000 -4.549 0.000 5.333" Properties=species:S:1:pos:R:3 pbc="T T T"
Sm -0.972 0.000 1.503
Sm 1.705 2.343 3.831
Sm 4.310 2.343 1.503
Sm 6.987 0.000 3.831
Zn 1.138 2.343 0.658
Zn -0.405 0.000 4.675
Zn 6.420 0.000 0.658
Zn 4.877 2.343 4.675
Ag -1.408 2.343 3.795
Ag 2.141 0.000 1.539
Ag 3.874 0.000 3.795
Ag 7.422 2.343 1.539
```

Values from the calculation:
uncorrected energy: -3.267 eV per atom
density: 8.1 g/cm3
formation energy from the elements: -0.319 eV per atom
V: 66.0 Å³/f.u.
space group: C2/m

Sm3ZnAg3: optimized geometry, PBE.

The structure in extended XYZ format:
```
14
Lattice="5.446 -2.007 0.000 5.446 2.007 0.000 -4.411 0.000 15.776" Properties=species:S:1:pos:R:3 pbc="T T T"
Sm -1.556 0.000 6.059
Sm -2.878 0.000 14.551
Sm 1.580 0.000 3.630
Sm 4.900 0.000 12.146
Sm 9.359 0.000 1.226
Sm 8.037 0.000 9.718
Zn 0.230 0.000 9.865
Zn 6.251 0.000 5.911
Ag 1.712 0.000 7.403
Ag 0.186 0.000 14.570
Ag 1.827 0.000 12.143
Ag 4.654 0.000 3.633
Ag 6.295 0.000 1.207
Ag 4.769 0.000 8.373
```

Values from the calculation:
uncorrected energy: -3.689 eV per atom
density: 8.1 g/cm3
formation energy from the elements: -0.262 eV per atom
V: 172.4 Å³/f.u.
space group: C2/m